Crystalline DyHg3F8 at its relaxed geometry. Source: the Alexandria database, functional PBE.

Geometry as extended XYZ:
```
12
Lattice="5.687 0.000 0.000 0.000 5.687 0.000 0.000 0.000 5.687" Properties=species:S:1:pos:R:3 pbc="T T T"
Dy 0.000 0.000 0.000
Hg 2.844 2.844 0.000
Hg 2.844 0.000 2.844
Hg 0.000 2.844 2.844
F 1.342 1.342 4.346
F 1.342 4.346 1.342
F 4.346 1.342 1.342
F 4.346 4.346 4.346
F 4.346 4.346 1.342
F 4.346 1.342 4.346
F 1.342 4.346 4.346
F 1.342 1.342 1.342
```

Fermi-level density of states in states/eV/f.u.: 1.08
Energy relative to the elements, uncorrected in eV per atom: -2.2185
Electronic total energy in eV/atom: -3.925
Space-group type: Pm-3m (221)

---

Crystalline ReSb3S at its relaxed geometry. Source: the Alexandria database, functional PBE.

Geometry as extended XYZ:
```
5
Lattice="-2.151 3.547 2.901 -3.380 0.935 -3.649 -3.093 -3.488 1.971" Properties=species:S:1:pos:R:3 pbc="T T T"
Re -4.312 0.497 0.611
S 0.000 0.000 0.000
Sb -1.690 0.468 -1.825
Sb -1.547 -1.744 0.986
Sb -1.075 1.773 1.451
```

Fermi-level density of states in states/eV/f.u.: 3.94
Energy relative to the elements, uncorrected in eV per atom: 1.3673
Electronic total energy in eV/atom: -4.421
Space-group type: Pm-3m (221)

---

Crystalline Ca2FeSeI at its relaxed geometry. Source: the Alexandria database, functional PBE.

Geometry as extended XYZ:
```
5
Lattice="-5.062 -2.707 -0.506 0.500 -0.124 -4.340 2.673 -5.085 0.453" Properties=species:S:1:pos:R:3 pbc="T T T"
I -0.944 -3.958 -2.196
Ca 1.337 -2.542 0.227
Ca -2.531 -1.353 -0.253
Fe 0.250 -0.062 -2.170
Se 0.000 0.000 0.000
```

Fermi-level density of states in states/eV/f.u.: 3.03
Energy relative to the elements, uncorrected in eV per atom: -0.5291
Electronic total energy in eV/atom: -4.029
Space-group type: P4/mmm (123)

---

Crystalline Li8Hg2Pd3 at its relaxed geometry. Source: the Alexandria database, functional PBE.

Geometry as extended XYZ:
```
13
Lattice="4.558 0.001 -0.002 -0.002 6.373 -2.651 0.002 -0.500 7.786" Properties=species:S:1:pos:R:3 pbc="T T T"
Li 4.557 1.791 4.306
Li 0.001 4.083 0.826
Li 0.001 5.311 3.781
Li 4.557 0.563 1.352
Li 2.279 4.916 -0.601
Li 2.279 2.485 0.412
Li 2.279 3.389 4.720
Li 2.280 0.957 5.733
Hg 2.280 4.690 2.288
Hg 2.278 1.183 2.844
Pd 2.279 0.000 -0.001
Pd -0.001 1.957 -0.813
Pd 4.559 3.917 5.946
```

Fermi-level density of states in states/eV/f.u.: 5.67
Energy relative to the elements in eV/atom: -0.29
Electronic total energy in eV/atom: -2.715
Space-group type: Cmmm (65)

---

Crystalline RbLaBr2F at its relaxed geometry. Source: the Alexandria database, functional PBE.

Geometry as extended XYZ:
```
5
Lattice="-3.546 2.239 4.431 4.151 -1.650 4.156 2.086 4.158 -0.432" Properties=species:S:1:pos:R:3 pbc="T T T"
F 1.043 2.079 -0.216
Br 2.075 -0.825 2.078
Br -1.773 1.120 2.216
Rb 1.345 2.374 4.077
La 0.000 0.000 0.000
```

Fermi-level density of states in states/eV/f.u.: 3.75
Energy relative to the elements, uncorrected in eV per atom: -2.1711
Electronic total energy in eV/atom: -4.394
Space-group type: P4/mmm (123)

---

Crystalline CeIn2S at its relaxed geometry. Source: the Alexandria database, functional PBE.

Geometry as extended XYZ:
```
4
Lattice="3.565 0.000 0.000 1.783 3.088 0.000 1.783 1.029 10.160" Properties=species:S:1:pos:R:3 pbc="T T T"
S 3.565 2.058 5.080
Ce 0.000 0.000 0.000
In 1.783 1.029 6.932
In 5.348 3.088 3.228
```

Fermi-level density of states in states/eV/f.u.: 6.19
Energy relative to the elements, uncorrected in eV per atom: -0.0986
Electronic total energy in eV/atom: -3.983
Space-group type: R-3m (166)

---

Crystalline GdHfSc2 at its relaxed geometry. Source: the Alexandria database, functional PBE.

Geometry as extended XYZ:
```
4
Lattice="-0.763 5.121 0.654 -3.957 2.380 -2.431 -4.104 1.698 2.741" Properties=species:S:1:pos:R:3 pbc="T T T"
Sc -2.206 2.300 0.241
Sc -6.618 6.900 0.723
Gd -4.412 4.600 0.482
Hf 0.000 0.000 0.000
```

Fermi-level density of states in states/eV/f.u.: 7.27
Energy relative to the elements in eV/atom: 0.18
Electronic total energy in eV/atom: -8.993
Space-group type: Fm-3m (225)

---

Crystalline PuB2PbO8 at its relaxed geometry. Source: the Alexandria database, functional PBE.

Geometry as extended XYZ:
```
12
Lattice="4.719 -0.211 -0.146 1.990 4.284 -0.146 0.066 0.040 7.017" Properties=species:S:1:pos:R:3 pbc="T T T"
Pu 0.000 0.000 0.000
B 4.396 2.669 1.607
B 2.378 1.444 5.118
Pb 0.033 0.020 3.509
O 3.731 0.833 5.232
O 5.140 3.121 0.355
O 4.979 3.023 2.864
O 1.795 1.090 3.862
O 1.634 0.992 6.370
O 2.460 2.927 5.232
O 4.314 1.186 1.494
O 3.043 3.281 1.494
```

Fermi-level density of states in states/eV/f.u.: 5.42
Energy relative to the elements, uncorrected in eV per atom: -1.8833
Electronic total energy in eV/atom: -7.805
Space-group type: C2/m (12)

---

Crystalline BeC4 at its relaxed geometry. Source: the Alexandria database, functional PBE.

Geometry as extended XYZ:
```
5
Lattice="-1.073 -0.845 -2.286 -0.902 -0.941 2.323 -6.046 6.693 0.364" Properties=species:S:1:pos:R:3 pbc="T T T"
Be 0.000 0.000 0.000
C -6.692 5.406 -0.409
C -1.330 -0.499 0.809
C -4.039 2.470 -0.568
C -3.982 2.438 0.968
```

Energy relative to the elements in eV/atom: 1.58
Electronic total energy in eV/atom: -6.546
Space-group type: P-3m1 (164)

---

Crystalline Y2OsBr2 at its relaxed geometry. Source: the Alexandria database, functional PBE.

Geometry as extended XYZ:
```
10
Lattice="-0.548 5.126 5.396 -7.073 -2.041 1.222 1.507 -3.271 3.260" Properties=species:S:1:pos:R:3 pbc="T T T"
Y -5.970 -0.036 2.724
Y -5.264 2.810 5.252
Y -1.651 3.120 3.894
Y -2.357 0.275 1.365
Os 0.000 0.000 0.000
Os -3.810 1.542 3.309
Br -3.975 -2.174 3.276
Br -5.573 0.007 6.203
Br -2.139 1.987 6.602
Br -0.541 -0.194 3.675
```

Fermi-level density of states in states/eV/f.u.: 2.18
Energy relative to the elements, uncorrected in eV per atom: -0.2356
Electronic total energy in eV/atom: -5.736
Space-group type: P4/mbm (127)

---

Crystalline La6S2NCl3 at its relaxed geometry. Source: the Alexandria database, functional PBE.

Geometry as extended XYZ:
```
12
Lattice="7.016 0.039 0.020 -3.473 6.096 0.020 -1.162 -2.012 6.825" Properties=species:S:1:pos:R:3 pbc="T T T"
La 3.432 2.286 5.420
La 2.476 4.288 1.585
La -1.051 1.837 1.445
La 0.265 4.115 5.420
La -0.095 -0.165 5.280
La 2.117 0.008 1.445
S 0.059 4.056 0.020
S 3.484 2.079 0.020
N 0.000 0.000 0.000
Cl -2.136 3.983 3.433
Cl 4.517 0.140 3.433
Cl 1.191 2.062 3.433
```

Fermi-level density of states in states/eV/f.u.: 5.79
Energy relative to the elements, uncorrected in eV per atom: -1.7745
Electronic total energy in eV/atom: -6.082
Space-group type: C2/m (12)

---

Crystalline Pu2MgRh at its relaxed geometry. Source: the Alexandria database, functional PBE.

Geometry as extended XYZ:
```
4
Lattice="-1.545 3.804 -3.363 -3.391 -0.951 0.482 -0.257 2.289 2.707" Properties=species:S:1:pos:R:3 pbc="T T T"
Mg -2.597 2.571 -0.087
Rh -0.773 1.902 -1.682
Pu -0.128 1.145 1.354
Pu -1.695 -0.476 0.241
```

Fermi-level density of states in states/eV/f.u.: 8.31
Energy relative to the elements in eV/atom: 0.26
Electronic total energy in eV/atom: -9.147
Space-group type: P4/mmm (123)

---

Crystalline Ca2MgAu at its relaxed geometry. Source: the Alexandria database, functional PBE.

Geometry as extended XYZ:
```
4
Lattice="-4.768 3.811 -2.499 -6.405 1.559 -0.213 -1.331 4.148 3.134" Properties=species:S:1:pos:R:3 pbc="T T T"
Au -2.997 2.360 0.179
Ca -10.728 5.317 -2.446
Ca -9.435 7.144 0.281
Mg -6.768 4.827 -0.092
```

Fermi-level density of states in states/eV/f.u.: 3.11
Energy relative to the elements in eV/atom: -0.41
Electronic total energy in eV/atom: -2.629
Space-group type: Cm (8)

---

Crystalline SrCa14Y at its relaxed geometry. Source: the Alexandria database, functional PBE.

Geometry as extended XYZ:
```
16
Lattice="7.760 -0.468 0.000 -3.472 6.956 0.000 0.000 0.000 12.813" Properties=species:S:1:pos:R:3 pbc="T T T"
Sr -3.005 6.647 6.407
Ca -1.136 5.411 0.000
Ca 4.476 1.702 0.000
Ca -1.272 3.160 6.407
Ca 0.598 1.944 0.000
Ca 0.882 6.419 6.407
Ca 2.734 5.176 0.000
Ca 2.494 0.722 9.598
Ca 2.494 0.722 3.215
Ca 4.601 3.910 9.598
Ca 4.601 3.910 3.215
Ca 0.762 4.157 9.548
Ca 0.762 4.157 3.265
Ca 6.349 0.464 9.643
Ca 6.349 0.464 3.171
Y 2.613 2.934 6.407
```

Fermi-level density of states in states/eV/f.u.: 21.70
Energy relative to the elements in eV/atom: 0.04
Electronic total energy in eV/atom: -2.221
Space-group type: Amm2 (38)

---

Crystalline CeYIr2 at its relaxed geometry. Source: the Alexandria database, functional PBE.

Geometry as extended XYZ:
```
16
Lattice="5.537 0.000 0.000 0.000 5.828 0.273 0.000 -0.317 10.998" Properties=species:S:1:pos:R:3 pbc="T T T"
Ce 1.384 3.045 6.840
Ce 4.153 2.466 4.431
Ce 1.384 5.222 10.066
Ce 4.153 0.290 1.205
Y 1.382 0.253 4.349
Y 4.155 5.258 6.922
Y 1.382 2.502 1.286
Y 4.155 3.009 9.985
Ir 4.151 0.118 9.471
Ir 1.386 5.393 1.800
Ir 4.151 2.321 7.162
Ir 1.386 3.190 4.109
Ir 4.149 3.273 1.867
Ir 1.388 2.238 9.404
Ir 4.149 5.310 4.042
Ir 1.388 0.201 7.229
```

Fermi-level density of states in states/eV/f.u.: 2.65
Energy relative to the elements in eV/atom: -0.64
Electronic total energy in eV/atom: -8.174
Space-group type: C2/m (12)

---

Crystalline MgNbInCl2 at its relaxed geometry. Source: the Alexandria database, functional PBE.

Geometry as extended XYZ:
```
5
Lattice="5.224 0.000 0.000 0.000 5.908 0.000 0.000 0.000 5.224" Properties=species:S:1:pos:R:3 pbc="T T T"
Nb 0.000 2.954 0.000
Cl 0.000 0.000 2.612
Cl 2.612 0.000 0.000
Mg 2.612 2.954 2.612
In 0.000 0.000 0.000
```

Fermi-level density of states in states/eV/f.u.: 5.29
Energy relative to the elements, uncorrected in eV per atom: 0.5516
Electronic total energy in eV/atom: -3.068
Space-group type: P4/mmm (123)

---

Crystalline Ce2Ga5Au3 at its relaxed geometry. Source: the Alexandria database, functional PBE.

Geometry as extended XYZ:
```
20
Lattice="6.217 0.000 0.000 3.108 8.155 -0.036 3.108 1.222 8.063" Properties=species:S:1:pos:R:3 pbc="T T T"
Ce 3.108 5.126 1.080
Ce 6.217 1.858 4.898
Ce 9.325 4.251 6.946
Ce 6.217 7.519 3.128
Ga 6.217 3.330 7.803
Ga 9.325 8.223 2.087
Ga 6.217 6.047 0.224
Ga 3.108 1.154 5.940
Ga 7.771 7.207 6.169
Ga 4.663 2.170 1.857
Ga 7.771 4.688 4.013
Ga 4.663 4.688 4.013
Ga 1.554 2.170 1.857
Ga 10.880 7.207 6.169
Au 6.217 5.119 6.061
Au 9.325 6.778 4.123
Au 6.217 4.257 1.966
Au 3.108 2.599 3.903
Au 1.554 0.000 0.000
Au 4.663 0.000 0.000
```

Fermi-level density of states in states/eV/f.u.: 13.94
Energy relative to the elements in eV/atom: -0.59
Electronic total energy in eV/atom: -4.272
Space-group type: Ibam (72)

---

Crystalline HoZrC2 at its relaxed geometry. Source: the Alexandria database, functional PBE.

Geometry as extended XYZ:
```
4
Lattice="-1.993 2.783 -0.620 -2.580 0.813 2.187 2.064 4.442 3.548" Properties=species:S:1:pos:R:3 pbc="T T T"
Ho -1.044 6.786 4.544
Zr -1.229 4.042 2.580
C 1.082 3.554 2.720
C -0.508 2.117 1.379
```

Fermi-level density of states in states/eV/f.u.: 3.89
Energy relative to the elements in eV/atom: -0.06
Electronic total energy in eV/atom: -7.958
Space-group type: R3m (160)

---

Crystalline LiDyTlNi at its relaxed geometry. Source: the Alexandria database, functional PBE.

Geometry as extended XYZ:
```
4
Lattice="4.713 0.000 0.000 2.356 4.081 0.000 2.356 1.360 3.848" Properties=species:S:1:pos:R:3 pbc="T T T"
Ni 4.713 2.721 1.924
Tl 2.356 1.360 0.962
Li 0.000 0.000 0.000
Dy 7.069 4.081 2.886
```

Fermi-level density of states in states/eV/f.u.: 5.96
Energy relative to the elements in eV/atom: -0.25
Electronic total energy in eV/atom: -3.914
Space-group type: F-43m (216)

---

Crystalline Tl11In9Hg4 at its relaxed geometry. Source: the Alexandria database, functional PBE.

Geometry as extended XYZ:
```
24
Lattice="-4.227 2.961 -1.413 -6.412 -4.975 8.759 5.664 9.845 3.683" Properties=species:S:1:pos:R:3 pbc="T T T"
Tl 1.471 6.191 8.571
Tl -2.219 -1.321 3.871
Tl -2.604 1.190 10.284
Tl 1.857 3.681 2.158
Tl -2.169 0.232 6.976
Tl 1.421 4.638 5.467
Tl -4.314 -2.401 7.877
Tl 3.567 7.271 4.565
Tl 0.000 0.000 0.000
Tl -0.523 3.403 8.694
Tl -0.225 1.467 3.748
In -5.491 -0.474 5.301
In 0.515 8.305 5.729
In 0.697 7.120 2.700
In -5.673 0.711 8.329
In -1.805 6.954 9.838
In -3.171 0.877 1.191
In -3.739 4.580 10.651
In -1.236 3.251 0.378
In -2.488 3.916 5.515
Hg -1.329 6.226 6.891
Hg -3.646 1.605 4.138
Hg -3.876 3.101 7.962
Hg -1.100 4.730 3.068
```

Fermi-level density of states in states/eV/f.u.: 11.20
Energy relative to the elements in eV/atom: 0.04
Electronic total energy in eV/atom: -2.121
Space-group type: Cmmm (65)

---

Crystalline Mg2Pd5Pt at its relaxed geometry. Source: the Alexandria database, functional PBE.

Geometry as extended XYZ:
```
16
Lattice="3.966 0.000 0.000 0.000 5.610 0.000 0.000 0.000 11.224" Properties=species:S:1:pos:R:3 pbc="T T T"
Mg 1.983 1.435 7.020
Mg 1.983 4.175 4.204
Mg 1.983 1.370 1.408
Mg 1.983 4.240 9.815
Pd 0.000 0.000 0.000
Pd 0.000 2.805 5.612
Pd 0.000 2.857 8.425
Pd 0.000 2.753 2.799
Pd 0.000 5.557 2.813
Pd 0.000 0.052 8.411
Pd 1.983 1.439 9.834
Pd 1.983 4.171 1.390
Pd 1.983 1.366 4.222
Pd 1.983 4.244 7.002
Pt 0.000 0.000 5.612
Pt 0.000 2.805 0.000
```

Fermi-level density of states in states/eV/f.u.: 8.99
Energy relative to the elements in eV/atom: -0.50
Electronic total energy in eV/atom: -4.896
Space-group type: Pbam (55)

---

Crystalline LaTaCr2 at its relaxed geometry. Source: the Alexandria database, functional PBE.

Geometry as extended XYZ:
```
4
Lattice="3.286 0.000 0.000 0.000 4.884 0.000 0.000 0.000 4.713" Properties=species:S:1:pos:R:3 pbc="T T T"
Cr 0.000 0.000 0.000
Cr 1.643 2.442 0.000
La 1.643 0.000 2.357
Ta 0.000 2.442 2.357
```

Fermi-level density of states in states/eV/f.u.: 4.87
Energy relative to the elements in eV/atom: 0.80
Electronic total energy in eV/atom: -8.211
Space-group type: Pmmm (47)

---

Crystalline TaCd2Co at its relaxed geometry. Source: the Alexandria database, functional PBE.

Geometry as extended XYZ:
```
4
Lattice="-0.690 -1.064 -2.937 4.121 1.074 -1.357 1.562 -4.430 1.238" Properties=species:S:1:pos:R:3 pbc="T T T"
Cd 0.000 0.000 0.000
Cd 1.715 0.005 -2.147
Co 0.436 -2.747 -0.849
Ta 2.841 -1.678 -0.059
```

Fermi-level density of states in states/eV/f.u.: 2.52
Energy relative to the elements in eV/atom: 0.41
Electronic total energy in eV/atom: -4.791
Space-group type: Pmmm (47)